Material: TiNi2PdN
Method: DFT, PBE-GGA
State: optimized geometry

Properties
- M_tot (μB per cell) = 1.0
- crystal system = tetragonal
- calculated total energy (eV per atom) = -5.80
- formation energy without anion corrections (eV per atom) = 0.79
- energy relative to the lowest polymorph listed for this composition (eV/f.u.) = 6.417
- calculated density (g cm⁻³) = 6.41
- SG = No. 123

Cell lengths 4.446, 4.446, 3.742 Å; angles 90.00, 90.00, 90.00 degrees
Atoms (fractional coordinates):
Ti1 0.000 0.000 0.000
Ni1 0.000 0.500 0.000
Ni2 0.500 0.000 0.000
Pd1 0.500 0.500 0.500
N1 0.000 0.000 0.500